Record 1
LaYZr2 (meta-GGA SCAN, single point on PBEsol structure); formation energy from the elements = 0.1991 eV per atom; calculated volume = 104.74 Å³/cell; distance to the lowest polymorph of the same formula = 0 meV/atom
1.0
4.770 0.000 0.000
0.000 4.770 0.000
-2.385 -2.385 4.603
Zr La Y
2 1 1
Direct
0.000 0.000 0.000
0.750 0.250 0.500
0.500 0.500 0.000
0.250 0.750 0.500

***

Record 2
KAu2Br (meta-GGA SCAN, single point on PBEsol structure); calculated volume = 97.49 Å³/cell; energy relative to the elements, uncorrected = -143 meV/atom; distance to the lowest polymorph of the same formula = 207 meV/atom
1.0
4.150 0.000 0.000
0.000 4.150 0.000
0.000 0.000 5.662
Br K Au
1 1 2
Direct
0.500 0.500 0.000
0.500 0.500 0.500
0.000 0.000 0.260
0.000 0.000 0.740

***

Record 3
Y2BeSi (meta-GGA SCAN, single point on PBEsol structure); calculated volume = 86.92 Å³/cell; energy relative to the elements, uncorrected = -504 meV/atom; distance to the lowest polymorph of the same formula = 34 meV/atom
1.0
3.784 0.000 0.000
1.892 3.277 0.000
1.892 1.092 7.010
Y Be Si
2 1 1
Direct
0.220 0.220 0.341
0.031 0.031 0.907
0.456 0.456 0.632
0.793 0.793 0.620

***

Record 4
LiCl5 (meta-GGA SCAN, single point on PBEsol structure); calculated volume = 116.53 Å³/cell; energy relative to the elements, uncorrected = -67 meV/atom
1.0
-3.095 1.328 0.202
-1.337 -3.094 -0.156
0.375 -0.678 10.207
Cl Li
5 1
Direct
0.000 0.000 0.879
0.000 0.000 0.121
0.000 0.000 0.500
0.500 0.500 0.339
0.500 0.500 0.661
0.500 0.500 0.000

***

Record 5
BaLi2S2 (meta-GGA SCAN, single point on PBEsol structure); calculated volume = 98.92 Å³/cell; energy relative to the elements, uncorrected = -1832 meV/atom
1.0
-0.424 1.103 3.757
-3.807 0.767 -0.655
0.634 -6.929 0.040
S Li Ba
2 2 1
Direct
0.639 0.639 0.278
0.361 0.361 0.722
0.250 0.750 0.500
0.750 0.250 0.500
0.000 0.000 0.000

***

Record 6
H24PdC8N2Cl4 (meta-GGA SCAN, single point on PBEsol structure); calculated volume = 850.37 Å³/cell
1.0
8.670 0.000 0.000
0.000 8.670 0.000
0.000 0.000 11.314
H Cl C N Pd
48 8 16 4 2
Direct
0.337 0.962 0.885
0.916 0.344 0.377
0.591 0.225 0.269
0.163 0.462 0.385
0.656 0.084 0.623
0.916 0.344 0.623
0.656 0.084 0.377
0.584 0.844 0.123
0.416 0.156 0.123
0.038 0.663 0.885
0.409 0.775 0.731
0.725 0.909 0.769
0.775 0.409 0.731
0.416 0.156 0.877
0.591 0.225 0.731
0.844 0.584 0.877
0.344 0.916 0.377
0.084 0.656 0.623
0.725 0.909 0.231
0.844 0.584 0.123
0.775 0.409 0.269
0.909 0.725 0.231
0.663 0.038 0.115
0.156 0.416 0.877
0.962 0.337 0.885
0.837 0.538 0.615
0.091 0.275 0.231
0.344 0.916 0.623
0.091 0.275 0.769
0.038 0.663 0.115
0.909 0.725 0.769
0.275 0.091 0.769
0.538 0.837 0.615
0.663 0.038 0.885
0.156 0.416 0.123
0.409 0.775 0.269
0.462 0.163 0.385
0.462 0.163 0.615
0.837 0.538 0.385
0.538 0.837 0.385
0.337 0.962 0.115
0.225 0.591 0.269
0.225 0.591 0.731
0.962 0.337 0.115
0.275 0.091 0.231
0.163 0.462 0.615
0.084 0.656 0.377
0.584 0.844 0.877
0.500 0.500 0.799
0.312 0.688 0.000
0.688 0.312 0.000
0.000 0.000 0.299
0.000 0.000 0.701
0.188 0.188 0.500
0.812 0.812 0.500
0.500 0.500 0.201
0.628 0.943 0.174
0.943 0.628 0.826
0.943 0.628 0.174
0.057 0.372 0.826
0.872 0.443 0.674
0.557 0.128 0.326
0.128 0.557 0.674
0.372 0.057 0.826
0.872 0.443 0.326
0.443 0.872 0.326
0.128 0.557 0.326
0.057 0.372 0.174
0.557 0.128 0.674
0.443 0.872 0.674
0.628 0.943 0.826
0.372 0.057 0.174
0.000 0.500 0.750
0.500 0.000 0.250
0.500 0.000 0.750
0.000 0.500 0.250
0.500 0.500 0.000
0.000 0.000 0.500

***

Record 7
NaLi2SbO (meta-GGA SCAN, single point on PBEsol structure); calculated volume = 115.60 Å³/cell; energy relative to the elements, uncorrected = -316 meV/atom
1.0
4.321 0.000 0.000
0.000 5.172 0.000
0.000 0.000 5.172
Na O Sb Li
1 1 1 2
Direct
0.500 0.500 0.500
0.500 0.000 0.000
0.000 0.000 0.000
0.000 0.000 0.500
0.000 0.500 0.000

***

Record 8
Al2FeW (meta-GGA SCAN, single point on PBEsol structure); formation energy from the elements = -0.1025 eV per atom; calculated volume = 56.30 Å³/cell; distance to the lowest polymorph of the same formula = 0 meV/atom
1.0
-0.938 1.292 2.169
0.436 -3.950 2.540
3.986 2.509 0.230
Fe W Al
1 1 2
Direct
0.500 0.000 0.000
0.500 0.500 0.500
0.000 0.000 0.500
0.000 0.500 0.000

***

Record 9
Be2NiW2 (meta-GGA SCAN, single point on PBEsol structure); formation energy from the elements = 0.3581 eV per atom; calculated volume = 58.36 Å³/cell
1.0
2.731 0.000 0.000
0.000 2.731 0.000
-1.365 -1.365 7.826
W Ni Be
2 1 2
Direct
0.615 0.615 0.230
0.385 0.385 0.770
0.000 0.000 0.000
0.750 0.250 0.500
0.250 0.750 0.500

***

Record 10
Ru2W (meta-GGA SCAN, single point on PBEsol structure); formation energy from the elements = 0.0070 eV per atom; calculated volume = 84.76 Å³/cell
1.0
-0.268 -2.535 -0.971
3.940 -0.220 3.318
-5.224 -0.863 3.699
Ru W
4 2
Direct
0.032 0.065 0.305
0.968 0.935 0.695
0.636 0.273 0.027
0.364 0.727 0.973
0.688 0.376 0.651
0.312 0.624 0.349

***

Record 11
LiZn3Ir (meta-GGA SCAN, single point on PBEsol structure); formation energy from the elements = 0.7084 eV per atom; calculated volume = 68.02 Å³/cell
1.0
4.082 0.000 0.000
0.000 4.082 0.000
0.000 0.000 4.082
Zn Li Ir
3 1 1
Direct
0.000 0.500 0.000
0.000 0.000 0.500
0.500 0.000 0.000
0.000 0.000 0.000
0.500 0.500 0.500

***

Record 12
Zr2FeP (meta-GGA SCAN, single point on PBEsol structure); formation energy from the elements = -0.5219 eV per atom; calculated volume = 63.73 Å³/cell
1.0
4.180 0.000 0.000
-2.090 4.203 0.008
0.000 2.072 3.631
Zr Fe P
2 1 1
Direct
0.250 0.500 0.250
0.750 0.500 0.750
0.500 0.000 0.500
0.000 0.000 0.000

***

What are the magnetization values for these records? In order: 0.00 0.00 0.06 2.02 0.00 0.11 0.00 2.79 0.00 0.00 0.00 1.59 μB per formula unit.
What are the electronic total energy values for these records? In order: -131.5 -166.7 -72.1 -42.7 -72.7 -258.6 -54.1 -103.7 -162.5 -139.3 -110.5 -92.0 eV/f.u..
What are the theoretical density values for these records? In order: 6.50 8.74 4.11 2.62 3.61 1.55 2.51 8.66 12.65 15.12 9.65 7.02 g/cm3.